Record 1
{
  "formula": "Li6PtAu2",
  "functional": "PBE",
  "state": "optimized geometry",
  "total_magnetization_mub_per_cell": 0.00,
  "e_above_lowest_polymorph_mev_per_atom": 164,
  "e_form_ev_per_atom": -0.31,
  "dos_ef_per_ev_atom": 0.336,
  "dft_energy_ev_per_atom": -2.99,
  "cell": [[6.805, -3.042, 0.000], [6.805, 3.042, 0.000], [-1.340, 0.000, 4.070]],
  "species": ["Li", "Li", "Li", "Li", "Li", "Li", "Pt", "Au", "Au"],
  "frac_coords": [[0.081, 0.598, 0.340], [0.234, 0.766, 0.000], [0.402, 0.919, 0.660], [0.598, 0.081, 0.340], [0.766, 0.234, 0.000], [0.919, 0.402, 0.660], [0.000, 0.000, 0.500], [0.333, 0.333, 0.833], [0.667, 0.667, 0.167]]
}

Record 2
{
  "formula": "TbPr8Sc5",
  "functional": "PBE",
  "state": "optimized geometry",
  "total_magnetization_mub_per_cell": 0.00,
  "e_form_ev_per_atom": 0.26,
  "dos_ef_per_ev_atom": 1.603,
  "dft_energy_ev_per_atom": -5.06,
  "cell": [[-4.740, 4.740, 5.065], [4.740, -4.740, 5.065], [4.740, 4.740, -5.065]],
  "species": ["Tb", "Pr", "Pr", "Pr", "Pr", "Pr", "Pr", "Pr", "Pr", "Sc", "Sc", "Sc", "Sc", "Sc"],
  "frac_coords": [[0.000, 0.000, 0.000], [0.097, 0.325, 0.421], [0.273, 0.169, 0.760], [0.325, 0.903, 0.228], [0.409, 0.512, 0.240], [0.488, 0.727, 0.896], [0.675, 0.096, 0.772], [0.831, 0.591, 0.104], [0.904, 0.675, 0.579], [0.017, 0.427, 0.802], [0.250, 0.750, 0.500], [0.573, 0.375, 0.589], [0.625, 0.215, 0.198], [0.785, 0.983, 0.411]]
}

Record 3
{
  "formula": "Cu2ReCl",
  "functional": "PBE",
  "state": "optimized geometry",
  "total_magnetization_mub_per_cell": 3.52,
  "e_above_lowest_polymorph_mev_per_atom": 957,
  "dos_ef_per_ev_atom": 0.452,
  "dft_energy_ev_per_atom": -4.33,
  "e_form_raw_mev_per_atom": 1293.8,
  "cell": [[0.000, 3.162, 3.162], [3.162, 0.000, 3.162], [3.162, 3.162, 0.000]],
  "species": ["Cu", "Cu", "Re", "Cl"],
  "frac_coords": [[0.250, 0.250, 0.250], [0.750, 0.750, 0.750], [0.000, 0.000, 0.000], [0.500, 0.500, 0.500]]
}

Record 4
{
  "formula": "TbPr2Sm9",
  "functional": "PBE",
  "state": "optimized geometry",
  "total_magnetization_mub_per_cell": 0.00,
  "e_above_lowest_polymorph_mev_per_atom": 35,
  "e_form_ev_per_atom": 0.05,
  "dos_ef_per_ev_atom": 1.302,
  "dft_energy_ev_per_atom": -4.67,
  "cell": [[11.500, 0.000, 0.000], [-5.750, 9.959, 0.000], [0.000, 0.000, 3.545]],
  "species": ["Tb", "Pr", "Pr", "Sm", "Sm", "Sm", "Sm", "Sm", "Sm", "Sm", "Sm", "Sm"],
  "frac_coords": [[0.000, 0.000, 0.000], [0.333, 0.667, 0.000], [0.667, 0.333, 0.000], [0.000, 0.500, 0.000], [0.172, 0.344, 0.500], [0.172, 0.828, 0.500], [0.344, 0.172, 0.500], [0.500, 0.000, 0.000], [0.500, 0.500, 0.000], [0.656, 0.828, 0.500], [0.828, 0.172, 0.500], [0.828, 0.656, 0.500]]
}

Record 5
{
  "formula": "Tb2Nd4Dy5",
  "functional": "PBE",
  "state": "optimized geometry",
  "total_magnetization_mub_per_cell": 0.00,
  "e_above_lowest_polymorph_mev_per_atom": 162,
  "e_form_ev_per_atom": 0.27,
  "dos_ef_per_ev_atom": 1.451,
  "dft_energy_ev_per_atom": -4.40,
  "cell": [[-1.755, 4.637, 11.529], [1.755, -4.637, 11.529], [1.755, 4.637, -11.529]],
  "species": ["Tb", "Tb", "Nd", "Nd", "Nd", "Nd", "Dy", "Dy", "Dy", "Dy", "Dy"],
  "frac_coords": [[0.230, 0.230, 0.000], [0.770, 0.770, 0.000], [0.096, 0.096, 0.000], [0.205, 0.500, 0.705], [0.795, 0.500, 0.295], [0.904, 0.904, 0.000], [0.153, 0.352, 0.801], [0.449, 0.648, 0.801], [0.500, 0.000, 0.500], [0.551, 0.352, 0.199], [0.847, 0.648, 0.199]]
}

Record 6
{
  "formula": "Ca3AlH6Se2",
  "functional": "PBE",
  "state": "optimized geometry",
  "total_magnetization_mub_per_cell": 0.00,
  "dos_ef_per_ev_atom": 0.352,
  "dft_energy_ev_per_atom": -3.57,
  "cell": [[6.410, -3.513, 0.000], [6.410, 3.513, 0.000], [-0.712, 0.000, 4.402]],
  "species": ["Ca", "Ca", "Ca", "Al", "H", "H", "H", "H", "H", "H", "Se", "Se"],
  "frac_coords": [[0.000, 0.000, 0.000], [0.000, 0.500, 0.500], [0.500, 0.000, 0.500], [0.500, 0.500, 0.500], [0.247, 0.643, 0.701], [0.357, 0.753, 0.299], [0.376, 0.376, 0.292], [0.624, 0.624, 0.708], [0.643, 0.247, 0.701], [0.753, 0.357, 0.299], [0.209, 0.209, 0.955], [0.791, 0.791, 0.045]]
}

Record 7
{
  "formula": "NaNdSmGa",
  "functional": "PBE",
  "state": "optimized geometry",
  "total_magnetization_mub_per_cell": 0.00,
  "e_form_ev_per_atom": -0.14,
  "dos_ef_per_ev_atom": 1.244,
  "dft_energy_ev_per_atom": -3.60,
  "cell": [[0.000, 3.786, 3.786], [3.786, 0.000, 3.786], [3.786, 3.786, 0.000]],
  "species": ["Na", "Nd", "Sm", "Ga"],
  "frac_coords": [[0.000, 0.000, 0.000], [0.750, 0.750, 0.750], [0.250, 0.250, 0.250], [0.500, 0.500, 0.500]]
}

Record 8
{
  "formula": "Cr2CoMoBr",
  "functional": "PBE",
  "state": "optimized geometry",
  "total_magnetization_mub_per_cell": 7.56,
  "dos_ef_per_ev_atom": 0.608,
  "dft_energy_ev_per_atom": -6.15,
  "e_form_raw_mev_per_atom": 1621.1,
  "cell": [[4.694, 0.000, 0.000], [0.000, 4.694, 0.000], [0.000, 0.000, 4.950]],
  "species": ["Cr", "Cr", "Co", "Mo", "Br"],
  "frac_coords": [[0.000, 0.500, 0.000], [0.500, 0.000, 0.000], [0.000, 0.000, 0.500], [0.500, 0.500, 0.000], [0.500, 0.500, 0.500]]
}

Record 9
{
  "formula": "Y2InW",
  "functional": "PBE",
  "state": "optimized geometry",
  "total_magnetization_mub_per_cell": 0.66,
  "e_form_ev_per_atom": 0.32,
  "dos_ef_per_ev_atom": 1.205,
  "dft_energy_ev_per_atom": -6.83,
  "cell": [[3.656, 0.000, 0.000], [0.000, 3.656, 0.000], [0.000, 0.000, 7.476]],
  "species": ["Y", "Y", "In", "W"],
  "frac_coords": [[0.000, 0.000, 0.000], [0.500, 0.500, 0.346], [0.000, 0.000, 0.587], [0.500, 0.500, 0.758]]
}

Record 10
{
  "formula": "Ba3NiPb",
  "functional": "PBE",
  "state": "optimized geometry",
  "total_magnetization_mub_per_cell": 0.00,
  "e_above_lowest_polymorph_mev_per_atom": 0,
  "e_form_ev_per_atom": -0.15,
  "dos_ef_per_ev_atom": 0.497,
  "dft_energy_ev_per_atom": -3.20,
  "cell": [[5.906, 0.000, 0.000], [0.000, 5.906, 0.000], [0.000, 0.000, 5.906]],
  "species": ["Ba", "Ba", "Ba", "Ni", "Pb"],
  "frac_coords": [[0.000, 0.000, 0.500], [0.000, 0.500, 0.000], [0.500, 0.000, 0.000], [0.000, 0.000, 0.000], [0.500, 0.500, 0.500]]
}

Record 11
{
  "formula": "Y2ReBr",
  "functional": "PBE",
  "state": "optimized geometry",
  "total_magnetization_mub_per_cell": 0.00,
  "e_above_lowest_polymorph_mev_per_atom": 246,
  "dos_ef_per_ev_atom": 0.456,
  "dft_energy_ev_per_atom": -7.00,
  "e_form_raw_mev_per_atom": -236.3,
  "cell": [[-1.748, 1.862, 7.959], [1.748, -1.862, 7.959], [1.748, 1.862, -7.959]],
  "species": ["Y", "Y", "Re", "Br"],
  "frac_coords": [[0.000, 0.000, 0.000], [0.791, 0.291, 0.500], [0.417, 0.417, 0.000], [0.168, 0.668, 0.500]]
}

Record 12
{
  "formula": "La2PaPd6",
  "functional": "PBE",
  "state": "optimized geometry",
  "total_magnetization_mub_per_cell": 0.00,
  "e_form_ev_per_atom": -0.74,
  "dos_ef_per_ev_atom": 0.716,
  "dft_energy_ev_per_atom": -6.35,
  "cell": [[5.465, -3.154, 0.000], [5.465, 3.154, 0.000], [0.000, 0.000, 5.559]],
  "species": ["La", "La", "Pa", "Pd", "Pd", "Pd", "Pd", "Pd", "Pd"],
  "frac_coords": [[0.168, 0.168, 0.183], [0.832, 0.832, 0.817], [0.500, 0.500, 0.000], [0.135, 0.683, 0.318], [0.316, 0.316, 0.683], [0.317, 0.865, 0.682], [0.683, 0.135, 0.318], [0.684, 0.684, 0.317], [0.865, 0.317, 0.682]]
}

Record 13
{
  "formula": "Li4CaLu",
  "functional": "PBE",
  "state": "optimized geometry",
  "total_magnetization_mub_per_cell": 0.00,
  "e_form_ev_per_atom": 0.10,
  "dos_ef_per_ev_atom": 1.162,
  "dft_energy_ev_per_atom": -2.26,
  "cell": [[0.000, 4.221, 4.221], [4.221, 0.000, 4.221], [4.221, 4.221, 0.000]],
  "species": ["Li", "Li", "Li", "Li", "Ca", "Lu"],
  "frac_coords": [[0.376, 0.376, 0.376], [0.376, 0.376, 0.873], [0.376, 0.873, 0.376], [0.873, 0.376, 0.376], [0.000, 0.000, 0.000], [0.750, 0.750, 0.750]]
}

Record 14
{
  "formula": "MgTl2Br4",
  "functional": "PBE",
  "state": "optimized geometry",
  "total_magnetization_mub_per_cell": 0.00,
  "e_above_lowest_polymorph_mev_per_atom": 198,
  "dos_ef_per_ev_atom": 0.000,
  "dft_energy_ev_per_atom": -2.77,
  "e_form_raw_mev_per_atom": -913.4,
  "cell": [[-2.513, 2.513, 10.430], [2.513, -2.513, 10.430], [2.513, 2.513, -10.430]],
  "species": ["Mg", "Tl", "Tl", "Br", "Br", "Br", "Br"],
  "frac_coords": [[0.000, 0.000, 0.000], [0.172, 0.172, 0.000], [0.828, 0.828, 0.000], [0.000, 0.500, 0.500], [0.314, 0.314, 0.000], [0.500, 0.000, 0.500], [0.686, 0.686, 0.000]]
}

Record 15
{
  "formula": "LiPrGa2Au2",
  "functional": "PBE",
  "state": "optimized geometry",
  "total_magnetization_mub_per_cell": 0.00,
  "e_form_ev_per_atom": -0.64,
  "dos_ef_per_ev_atom": 0.603,
  "dft_energy_ev_per_atom": -3.86,
  "cell": [[4.529, 0.000, 0.000], [-2.265, 3.923, 0.000], [0.000, 0.000, 6.766]],
  "species": ["Li", "Pr", "Ga", "Ga", "Au", "Au"],
  "frac_coords": [[0.000, 0.000, 0.000], [0.000, 0.000, 0.500], [0.333, 0.667, 0.201], [0.667, 0.333, 0.799], [0.333, 0.667, 0.788], [0.667, 0.333, 0.212]]
}

Record 16
{
  "formula": "Pu2InPt",
  "functional": "PBE",
  "state": "optimized geometry",
  "total_magnetization_mub_per_cell": 11.32,
  "e_above_lowest_polymorph_mev_per_atom": 145,
  "e_form_ev_per_atom": -0.30,
  "dos_ef_per_ev_atom": 5.086,
  "dft_energy_ev_per_atom": -9.66,
  "cell": [[1.924, 1.111, 8.563], [-1.924, 1.111, 8.563], [0.000, -2.221, 8.563]],
  "species": ["Pu", "Pu", "In", "Pt"],
  "frac_coords": [[0.236, 0.236, 0.236], [0.764, 0.764, 0.764], [0.000, 0.000, 0.000], [0.500, 0.500, 0.500]]
}

Record 17
{
  "formula": "ThPb3",
  "functional": "PBE",
  "state": "optimized geometry",
  "total_magnetization_mub_per_cell": 0.00,
  "e_above_lowest_polymorph_mev_per_atom": 92,
  "e_form_ev_per_atom": -0.14,
  "dos_ef_per_ev_atom": 0.616,
  "dft_energy_ev_per_atom": -4.78,
  "cell": [[5.829, 0.000, 0.000], [0.000, 5.829, 0.000], [0.000, 0.000, 3.607]],
  "species": ["Th", "Pb", "Pb", "Pb"],
  "frac_coords": [[0.000, 0.000, 0.000], [0.000, 0.500, 0.500], [0.500, 0.000, 0.500], [0.500, 0.500, 0.000]]
}

Record 18
{
  "formula": "PtOF3",
  "functional": "PBE",
  "state": "optimized geometry",
  "total_magnetization_mub_per_cell": 2.07,
  "e_above_lowest_polymorph_mev_per_atom": 557,
  "dos_ef_per_ev_atom": 1.723,
  "dft_energy_ev_per_atom": -3.51,
  "e_form_raw_mev_per_atom": -191.8,
  "cell": [[4.136, 0.000, 0.000], [0.000, 4.136, 0.000], [0.000, 0.000, 4.136]],
  "species": ["Pt", "O", "F", "F", "F"],
  "frac_coords": [[0.000, 0.000, 0.000], [0.500, 0.500, 0.500], [0.000, 0.000, 0.500], [0.000, 0.500, 0.000], [0.500, 0.000, 0.000]]
}

Record 19
{
  "formula": "Y6ErAl",
  "functional": "PBE",
  "state": "optimized geometry",
  "total_magnetization_mub_per_cell": 0.00,
  "e_form_ev_per_atom": 0.03,
  "dos_ef_per_ev_atom": 1.482,
  "dft_energy_ev_per_atom": -5.86,
  "cell": [[4.605, 2.659, 3.341], [-4.605, 2.659, 3.341], [0.000, -5.318, 3.341]],
  "species": ["Y", "Y", "Y", "Y", "Y", "Y", "Er", "Al"],
  "frac_coords": [[0.037, 0.557, 0.761], [0.239, 0.963, 0.443], [0.443, 0.239, 0.963], [0.557, 0.761, 0.037], [0.761, 0.037, 0.557], [0.963, 0.443, 0.239], [0.500, 0.500, 0.500], [0.000, 0.000, 0.000]]
}

Record 20
{
  "formula": "Cs2NbHI6",
  "functional": "PBE",
  "state": "optimized geometry",
  "total_magnetization_mub_per_cell": 2.00,
  "dos_ef_per_ev_atom": 0.604,
  "dft_energy_ev_per_atom": -3.09,
  "cell": [[0.000, 5.911, 5.911], [5.911, 0.000, 5.911], [5.911, 5.911, 0.000]],
  "species": ["Cs", "Cs", "Nb", "H", "I", "I", "I", "I", "I", "I"],
  "frac_coords": [[0.250, 0.250, 0.250], [0.750, 0.750, 0.750], [0.000, 0.000, 0.000], [0.500, 0.500, 0.500], [0.239, 0.239, 0.761], [0.239, 0.761, 0.239], [0.239, 0.761, 0.761], [0.761, 0.239, 0.239], [0.761, 0.239, 0.761], [0.761, 0.761, 0.239]]
}